Below is a geometry-optimized Ca3TcTe structure, with properties calculated at the PBE-GGA level.

Polymorph energy (0 for the lowest one) ... 0.390 eV/atom
Formation energy without anion corrections ... 484 meV/atom
M_tot ... 0.55 μB per atom
Calculated volume ... 39.09 Å³ per atom
E_tot ... -3.42 eV per atom

The structure in CIF format:
```
data_Ca3TcTe
_space_group_name_H-M_alt 'P m -3 m'
_space_group_IT_number 221
_space_group_name_Hall '-P 4 2 3'
_cell_length_a 5.803
_cell_length_b 5.803
_cell_length_c 5.803
_cell_angle_alpha 90.00
_cell_angle_beta 90.00
_cell_angle_gamma 90.00
loop_
_atom_site_label
_atom_site_type_symbol
_atom_site_fract_x
_atom_site_fract_y
_atom_site_fract_z
Ca1 Ca 0.000 0.000 0.500
Tc1 Tc 0.500 0.500 0.500
Te1 Te 0.000 0.000 0.000
```

Below is a geometry-optimized HfAl3Os structure, with properties calculated at the PBE-GGA level.

Polymorph energy (0 for the lowest one) ... 0.000 eV/atom
M_tot ... 0.00 μB per atom
Calculated volume ... 20.15 Å³ per atom
E_tot ... -6.19 eV per atom
Energy relative to the elements ... 0.29 eV per atom

The structure in CIF format:
```
data_HfAl3Os
_space_group_name_H-M_alt 'P m -3 m'
_space_group_IT_number 221
_space_group_name_Hall '-P 4 2 3'
_cell_length_a 4.653
_cell_length_b 4.653
_cell_length_c 4.653
_cell_angle_alpha 90.00
_cell_angle_beta 90.00
_cell_angle_gamma 90.00
loop_
_atom_site_label
_atom_site_type_symbol
_atom_site_fract_x
_atom_site_fract_y
_atom_site_fract_z
Hf1 Hf 0.000 0.000 0.000
Al1 Al 0.000 0.500 0.500
Os1 Os 0.500 0.500 0.500
```

Below is a geometry-optimized Sc2SbBr structure, with properties calculated at the PBE-GGA level.

Polymorph energy (0 for the lowest one) ... 0.008 eV/atom
Formation energy without anion corrections ... -835 meV/atom
M_tot ... 0.00 μB per atom
Calculated volume ... 33.42 Å³ per atom
E_tot ... -5.45 eV per atom

The structure in CIF format:
```
data_Sc2SbBr
_space_group_name_H-M_alt 'R -3 m'
_space_group_IT_number 166
_space_group_name_Hall '-R 3 2"'
_cell_length_a 4.4990
_cell_length_b 4.4990
_cell_length_c 22.8763
_cell_angle_alpha 90.00
_cell_angle_beta 90.00
_cell_angle_gamma 120.00
loop_
_atom_site_label
_atom_site_type_symbol
_atom_site_fract_x
_atom_site_fract_y
_atom_site_fract_z
Sc1 Sc 0.0000 0.0000 0.1152
Sb1 Sb 0.0000 0.0000 0.5000
Br1 Br 0.0000 0.0000 0.0000
```